[1]
## TaSiPt2 (PBEsol)

Data for TaSiPt2 after structural relaxation.

abc: 3.823 3.823 17.831
angles: 90.00 90.00 90.00
Space group I-42d (No. 122)
One atom of each set of equivalent atoms:
Ta  0.000  0.000  0.000 [4 per cell]
Si  0.000  0.000  0.500 [4 per cell]
Pt  0.240  0.250  0.625 [8 per cell]

Computed properties:
The calculation puts the uncorrected formation energy at -246 meV/atom.


[2]
## TaSiPt2 (PBEsol)

Data for TaSiPt2 after structural relaxation.

abc: 3.821 3.821 4.104
angles: 90.00 90.00 90.00
Space group P4/mmm (No. 123)
One atom of each set of equivalent atoms:
Ta  0.000  0.000  0.000 [1 per cell]
Si  0.500  0.500  0.000 [1 per cell]
Pt  0.000  0.500  0.500 [2 per cell]

Computed properties:
The calculation puts the uncorrected formation energy at -484 meV/atom.


no.,VASP energy (eV per atom)
1,-8.3023
2,-8.5406